1.
Here is Pr6Dy8Tm after structural relaxation from Alexandria via LeMat-Bulk. Energies are from PBE.

Calculated volume   506.8 Å³ per cell
Size of the total moment   0.000 μB per atom
Final energy   -68.22 eV/cell

a = 9.149 Å, b = 9.149 Å, c = 8.762 Å
α = 58.53°, β = 58.53°, γ = 60.00°
Fractional coordinates of all 15 atoms:
1 Tm 0.000 0.000 0.000
2 Dy 0.751 0.717 0.420
3 Dy 0.577 0.577 0.269
4 Pr 0.538 0.100 0.132
5 Dy 0.112 0.751 0.420
6 Dy 0.249 0.283 0.580
7 Pr 0.771 0.462 0.868
8 Pr 0.229 0.538 0.132
9 Pr 0.462 0.900 0.868
10 Pr 0.900 0.771 0.868
11 Dy 0.423 0.423 0.731
12 Dy 0.717 0.112 0.420
13 Dy 0.888 0.249 0.580
14 Pr 0.100 0.229 0.132
15 Dy 0.283 0.888 0.580



2.
Here is AcMg5Sn2 after structural relaxation from Alexandria via LeMat-Bulk. Energies are from PBE.

Calculated volume   213.9 Å³ per cell
Size of the total moment   0.000 μB per atom
Final energy   -22.16 eV/cell

a = 4.522 Å, b = 7.332 Å, c = 7.332 Å
α = 72.18°, β = 72.04°, γ = 72.04°
Fractional coordinates of all 8 atoms:
1 Sn 0.737 0.763 0.763
2 Mg 0.643 0.539 0.174
3 Mg 0.643 0.174 0.539
4 Mg 0.000 0.500 0.500
5 Mg 0.357 0.826 0.461
6 Ac 0.000 0.000 0.000
7 Sn 0.263 0.237 0.237
8 Mg 0.357 0.461 0.826



3.
Here is PuNb2 after structural relaxation from Alexandria via LeMat-Bulk. Energies are from PBE.

Calculated volume   58.9 Å³ per cell
Size of the total moment   1.525 μB per atom
Final energy   -33.83 eV/cell

a = 3.353 Å, b = 3.353 Å, c = 5.748 Å
α = 106.96°, β = 106.96°, γ = 90.00°
Site moments in Bohr magnetons follow the coordinates.
Fractional coordinates of all 3 atoms:
1 Nb 0.329 0.329 0.658  -0.17
2 Pu 0.000 0.000 0.000  4.76
3 Nb 0.671 0.671 0.342  -0.17